# 1
Here is a crystal of BiPtC3 relaxed with PBEsol from the Alexandria database. Energies are from SCAN.

DFT formation energy: 3871 meV/atom
Symmetry: Pm-3m (221)

Cell: 4.339 4.339 4.339 Å, 90.00 90.00 90.00°
Fractional coordinates of all 5 atoms:
1 Bi 0.000 0.000 0.000
2 Pt 0.500 0.500 0.500
3 C 0.000 0.000 0.500
4 C 0.000 0.500 0.000
5 C 0.500 0.000 0.000

***

# 2
Here is a crystal of RbBiRh2C relaxed with PBEsol from the Alexandria database. Energies are from SCAN.

DFT formation energy: 1649 meV/atom
Symmetry: P4/mmm (123)

Cell: 5.088 5.088 4.636 Å, 90.00 90.00 90.00°
Fractional coordinates of all 5 atoms:
1 Rb 0.000 0.000 0.000
2 Bi 0.500 0.500 0.500
3 Rh 0.000 0.500 0.500
4 Rh 0.500 0.000 0.500
5 C 0.500 0.500 0.000

***

# 3
Here is a crystal of BiRhC3 relaxed with PBEsol from the Alexandria database. Energies are from SCAN.

DFT formation energy: 3858 meV/atom
Symmetry: Pm-3m (221)

Cell: 4.337 4.337 4.337 Å, 90.00 90.00 90.00°
Fractional coordinates of all 5 atoms:
1 Bi 0.000 0.000 0.000
2 Rh 0.500 0.500 0.500
3 C 0.000 0.000 0.500
4 C 0.000 0.500 0.000
5 C 0.500 0.000 0.000

***

# 4
Here is a crystal of BiRuC3 relaxed with PBEsol from the Alexandria database. Energies are from SCAN.

DFT formation energy: 2101 meV/atom
Symmetry: Pm-3m (221)

Cell: 4.024 4.024 4.024 Å, 90.00 90.00 90.00°
Fractional coordinates of all 5 atoms:
1 Bi 0.000 0.000 0.000
2 Ru 0.500 0.500 0.500
3 C 0.000 0.500 0.500
4 C 0.500 0.000 0.500
5 C 0.500 0.500 0.000

***

# 5
Here is a crystal of BiCS2 relaxed with PBEsol from the Alexandria database. Energies are from SCAN.

Formation energy (no corrections): 6.73 eV per formula unit
Symmetry: Fm-3m (225)

Cell: 4.607 4.607 4.607 Å, 60.00 60.00 60.00°
Fractional coordinates of all 4 atoms:
1 Bi 0.000 0.000 0.000
2 C 0.500 0.500 0.500
3 S 0.250 0.250 0.250
4 S 0.750 0.750 0.750

***

# 6
Here is a crystal of BiC2S relaxed with PBEsol from the Alexandria database. Energies are from SCAN.

Formation energy (no corrections): 7.27 eV per formula unit
Symmetry: I-42d (122)

Cell: 5.346 5.346 5.346 Å, 119.54 119.54 90.79°
Fractional coordinates of all 8 atoms:
1 Bi 0.000 0.000 0.000
2 Bi 0.750 0.250 0.500
3 C 0.249 0.625 0.124
4 C 0.375 0.499 0.624
5 C 0.501 0.125 0.876
6 C 0.875 0.751 0.376
7 S 0.250 0.750 0.500
8 S 0.500 0.500 0.000

***

# 7
Here is a crystal of BiC3S relaxed with PBEsol from the Alexandria database. Energies are from SCAN.

Formation energy (no corrections): 13.39 eV per formula unit
Symmetry: Pm-3m (221)

Cell: 3.796 3.796 3.796 Å, 90.00 90.00 90.00°
Fractional coordinates of all 5 atoms:
1 Bi 0.000 0.000 0.000
2 C 0.000 0.500 0.500
3 C 0.500 0.000 0.500
4 C 0.500 0.500 0.000
5 S 0.500 0.500 0.500

***

# 8
Here is a crystal of Bi2SbC relaxed with PBEsol from the Alexandria database. Energies are from SCAN.

Formation energy (no corrections): 4.33 eV per formula unit
Symmetry: I-42d (122)

Cell: 6.435 6.435 6.435 Å, 112.89 112.89 102.82°
Fractional coordinates of all 8 atoms:
1 Bi 0.039 0.625 0.914
2 Bi 0.375 0.289 0.414
3 Bi 0.711 0.125 0.086
4 Bi 0.875 0.961 0.586
5 Sb 0.250 0.750 0.500
6 Sb 0.500 0.500 0.000
7 C 0.000 0.000 0.000
8 C 0.750 0.250 0.500

***

# 9
Here is a crystal of BiSb2C relaxed with PBEsol from the Alexandria database. Energies are from SCAN.

Formation energy (no corrections): 6.58 eV per formula unit
Symmetry: Fm-3m (225)

Cell: 5.042 5.042 5.042 Å, 60.00 60.00 60.00°
Fractional coordinates of all 4 atoms:
1 Bi 0.000 0.000 0.000
2 Sb 0.250 0.250 0.250
3 Sb 0.750 0.750 0.750
4 C 0.500 0.500 0.500

***

# 10
Here is a crystal of BiSbC2 relaxed with PBEsol from the Alexandria database. Energies are from SCAN.

Formation energy (no corrections): 9.74 eV per formula unit
Symmetry: Fm-3m (225)

Cell: 4.447 4.447 4.447 Å, 60.00 60.00 60.00°
Fractional coordinates of all 4 atoms:
1 Bi 0.000 0.000 0.000
2 Sb 0.500 0.500 0.500
3 C 0.250 0.250 0.250
4 C 0.750 0.750 0.750

***

# 11
Here is a crystal of SiBiSb2C relaxed with PBEsol from the Alexandria database. Energies are from SCAN.

Formation energy (no corrections): 10.21 eV per formula unit
Symmetry: P4/mmm (123)

Cell: 5.770 5.770 4.286 Å, 90.00 90.00 90.00°
Fractional coordinates of all 5 atoms:
1 Si 0.000 0.000 0.000
2 Bi 0.500 0.500 0.500
3 Sb 0.000 0.500 0.500
4 Sb 0.500 0.000 0.500
5 C 0.500 0.500 0.000

***

# 12
Here is a crystal of SrBi2CSe relaxed with PBEsol from the Alexandria database. Energies are from SCAN.

Formation energy (no corrections): 2.87 eV per formula unit
Symmetry: P4/mmm (123)

Cell: 5.118 5.118 4.589 Å, 90.00 90.00 90.00°
Fractional coordinates of all 5 atoms:
1 Sr 0.000 0.000 0.000
2 Bi 0.000 0.500 0.500
3 Bi 0.500 0.000 0.500
4 C 0.500 0.500 0.500
5 Se 0.500 0.500 0.000

***

# 13
Here is a crystal of Ti2SiBiC relaxed with PBEsol from the Alexandria database. Energies are from SCAN.

Formation energy (no corrections): 3.11 eV per formula unit
Symmetry: P4/mmm (123)

Cell: 4.896 4.896 3.577 Å, 90.00 90.00 90.00°
Fractional coordinates of all 5 atoms:
1 Ti 0.000 0.500 0.000
2 Ti 0.500 0.000 0.000
3 Si 0.000 0.000 0.000
4 Bi 0.500 0.500 0.500
5 C 0.000 0.000 0.500

***

# 14
Here is a crystal of Sn3BiC relaxed with PBEsol from the Alexandria database. Energies are from SCAN.

DFT formation energy: 2168 meV/atom
Symmetry: Pm-3m (221)

Cell: 5.809 5.809 5.809 Å, 90.00 90.00 90.00°
Fractional coordinates of all 5 atoms:
1 Sn 0.000 0.000 0.500
2 Sn 0.000 0.500 0.000
3 Sn 0.500 0.000 0.000
4 Bi 0.000 0.000 0.000
5 C 0.500 0.500 0.500

***

# 15
Here is a crystal of Sr3BiC relaxed with PBEsol from the Alexandria database. Energies are from SCAN.

DFT formation energy: 918 meV/atom
Symmetry: Pm-3m (221)

Cell: 6.225 6.225 6.225 Å, 90.00 90.00 90.00°
Fractional coordinates of all 5 atoms:
1 Sr 0.000 0.000 0.500
2 Sr 0.000 0.500 0.000
3 Sr 0.500 0.000 0.000
4 Bi 0.000 0.000 0.000
5 C 0.500 0.500 0.500

***

# 16
Here is a crystal of TaBi2C relaxed with PBEsol from the Alexandria database. Energies are from SCAN.

DFT formation energy: 1731 meV/atom
Symmetry: I-42d (122)

Cell: 6.295 6.295 6.295 Å, 117.74 117.74 93.96°
Fractional coordinates of all 8 atoms:
1 Ta 0.000 0.000 0.000
2 Ta 0.750 0.250 0.500
3 Bi 0.194 0.625 0.069
4 Bi 0.375 0.444 0.569
5 Bi 0.556 0.125 0.931
6 Bi 0.875 0.806 0.431
7 C 0.250 0.750 0.500
8 C 0.500 0.500 0.000

***

# 17
Here is a crystal of TaBiC3 relaxed with PBEsol from the Alexandria database. Energies are from SCAN.

DFT formation energy: 1762 meV/atom
Symmetry: Pm-3m (221)

Cell: 4.203 4.203 4.203 Å, 90.00 90.00 90.00°
Fractional coordinates of all 5 atoms:
1 Ta 0.000 0.000 0.000
2 Bi 0.500 0.500 0.500
3 C 0.000 0.000 0.500
4 C 0.000 0.500 0.000
5 C 0.500 0.000 0.000

***

# 18
Here is a crystal of Ta2BiC relaxed with PBEsol from the Alexandria database. Energies are from SCAN.

DFT formation energy: 1357 meV/atom
Symmetry: Fm-3m (225)

Cell: 4.514 4.514 4.514 Å, 60.00 60.00 60.00°
Fractional coordinates of all 4 atoms:
1 Ta 0.250 0.250 0.250
2 Ta 0.750 0.750 0.750
3 Bi 0.000 0.000 0.000
4 C 0.500 0.500 0.500

***

# 19
Here is a crystal of TlTcBiC2 relaxed with PBEsol from the Alexandria database. Energies are from SCAN.

DFT formation energy: 2932 meV/atom
Symmetry: P4/mmm (123)

Cell: 4.273 4.273 5.328 Å, 90.00 90.00 90.00°
Fractional coordinates of all 5 atoms:
1 Tl 0.000 0.000 0.000
2 Tc 0.000 0.000 0.500
3 Bi 0.500 0.500 0.500
4 C 0.000 0.500 0.000
5 C 0.500 0.000 0.000

***

# 20
Here is a crystal of TiBiC3 relaxed with PBEsol from the Alexandria database. Energies are from SCAN.

DFT formation energy: 3232 meV/atom
Symmetry: Pm-3m (221)

Cell: 4.305 4.305 4.305 Å, 90.00 90.00 90.00°
Fractional coordinates of all 5 atoms:
1 Ti 0.000 0.000 0.000
2 Bi 0.500 0.500 0.500
3 C 0.000 0.500 0.500
4 C 0.500 0.000 0.500
5 C 0.500 0.500 0.000